First-principles (PBE) data for crystalline ZnCd3Re at its relaxed geometry, as listed in Alexandria via LeMat-Bulk.

Calculated values
Energy relative to the lowest polymorph listed for this composition (meV per atom): 0
Total energy (eV per atom): -2.174
DFT formation energy (eV per atom): 1.120

a b c (Å): 5.370 5.370 5.370
angles (deg): 90.00 90.00 90.00
Each line ends with the local moment (μB).
Fractional coordinates of all 5 atoms:
Zn (0.500, 0.500, 0.500)  0.05
Re (0.000, 0.000, 0.000)  1.88
Cd (0.500, 0.000, 0.000)  0.01
Cd (0.000, 0.500, 0.000)  0.03
Cd (0.000, 0.000, 0.500)  0.03